Ce3H3Pb: optimized geometry, PBE-GGA.

Cell: 6.7477 6.7477 22.9017 Å, 90.00 90.00 120.00°
Space group R-3 (No. 148, hexagonal axes)
Unique sites:
Ce1 0.0005 0.3229 0.1015
H1 0.0001 0.3453 0.8699
Pb1 0.0000 0.0000 0.3333

- E above lowest polymorph (meV per atom) = 139.1
- N(E_F) (states/eV per cell) = 118.977
- magnetization (μB/atom) = 0.44